No. 1
The following is a DFT calculation (GGA-PBEsol) of an optimized crystal structure of La5Si3N9.

Properties
Its space-group type is Cmce (64). Its uncorrected formation energy is -1.52 eV per atom.

a = 7.760 Å, b = 7.760 Å, c = 15.938 Å
α = 90.00°, β = 90.00°, γ = 93.85°
Fractional positions:
La (0.533, 0.045, 0.370)
La (0.516, 0.484, 0.163)
La (0.506, 0.494, 0.613)
La (0.795, 0.795, 0.500)
La (0.967, 0.455, 0.870)
La (0.494, 0.506, 0.387)
La (0.006, 0.994, 0.887)
La (0.045, 0.533, 0.630)
La (0.955, 0.467, 0.370)
La (0.016, 0.984, 0.337)
La (0.455, 0.967, 0.130)
La (0.484, 0.516, 0.837)
La (0.545, 0.033, 0.870)
La (0.705, 0.705, 0.000)
La (0.295, 0.295, 0.000)
La (0.984, 0.016, 0.663)
La (0.467, 0.955, 0.630)
La (0.205, 0.205, 0.500)
La (0.033, 0.545, 0.130)
La (0.994, 0.006, 0.113)
Si (0.739, 0.261, 0.516)
Si (0.761, 0.239, 0.016)
Si (0.276, 0.724, 0.274)
Si (0.261, 0.739, 0.484)
Si (0.776, 0.224, 0.226)
Si (0.716, 0.784, 0.250)
Si (0.239, 0.761, 0.984)
Si (0.724, 0.276, 0.726)
Si (0.224, 0.776, 0.774)
Si (0.784, 0.716, 0.750)
Si (0.216, 0.284, 0.250)
Si (0.284, 0.216, 0.750)
N (0.506, 0.244, 0.742)
N (0.272, 0.728, 0.877)
N (0.994, 0.256, 0.242)
N (0.228, 0.772, 0.377)
N (0.244, 0.506, 0.258)
N (0.772, 0.228, 0.623)
N (0.660, 0.340, 0.295)
N (0.774, 0.701, 0.153)
N (0.514, 0.221, 0.500)
N (0.636, 0.364, 0.952)
N (0.201, 0.274, 0.653)
N (0.299, 0.226, 0.153)
N (0.136, 0.864, 0.548)
N (0.799, 0.726, 0.347)
N (0.226, 0.299, 0.847)
N (0.494, 0.756, 0.258)
N (0.840, 0.160, 0.795)
N (0.701, 0.774, 0.847)
N (0.160, 0.840, 0.205)
N (0.486, 0.779, 0.500)
N (0.756, 0.494, 0.742)
N (0.006, 0.744, 0.758)
N (0.274, 0.201, 0.347)
N (0.779, 0.486, 0.500)
N (0.014, 0.721, 0.000)
N (0.744, 0.006, 0.242)
N (0.721, 0.014, 0.000)
N (0.256, 0.994, 0.758)
N (0.279, 0.986, 0.000)
N (0.364, 0.636, 0.048)
N (0.726, 0.799, 0.653)
N (0.221, 0.514, 0.500)
N (0.728, 0.272, 0.123)
N (0.986, 0.279, 0.000)
N (0.340, 0.660, 0.705)
N (0.864, 0.136, 0.452)

No. 2
The following is a DFT calculation (GGA-PBEsol) of an optimized crystal structure of KTaMn3.

Properties
Its formation energy is 2.4802 eV/atom. Its space-group type is Pm-3m (221).

a = 4.305 Å, b = 4.305 Å, c = 4.305 Å
α = 90.00°, β = 90.00°, γ = 90.00°
Fractional positions:
K (0.000, 0.000, 0.000)
Mn (0.000, 0.500, 0.000)
Mn (0.000, 0.000, 0.500)
Mn (0.500, 0.000, 0.000)
Ta (0.500, 0.500, 0.500)

| no. | mass density (g cm⁻³) |
| --- | --- |
| 1 | 6.28 |
| 2 | 8.01 |